1.
8
Lattice="3.337 0.000 0.000 -1.668 2.890 0.000 0.000 0.000 13.646" Properties=species:S:1:pos:R:3 comment="Lu4FeNiN2 (PBE, optimized geometry)" total_magnetization_mub_per_fu=1.6 final_energy_ev_per_cell=-54.77 pbc="T T T"
Fe 0.000 0.000 0.000
Lu 1.668 0.963 2.126
Lu 0.000 0.000 4.851
Lu 0.000 0.000 8.795
Lu 1.668 0.963 11.520
N 0.000 1.926 3.495
N 0.000 1.926 10.151
Ni 1.668 0.963 6.823

---

2.
8
Lattice="-0.370 -3.199 1.161 1.257 0.548 -3.136 12.290 0.392 4.996" Properties=species:S:1:pos:R:3 comment="Lu4FePN2 (PBE, optimized geometry)" total_magnetization_mub_per_fu=1.9 final_energy_ev_per_cell=-56.69 pbc="T T T"
Fe 0.000 0.000 0.000
Lu 2.081 -1.889 0.505
Lu 4.387 0.140 1.783
Lu 7.902 0.252 3.212
Lu 10.554 -1.619 3.949
N 3.939 -0.598 -0.393
N 9.781 -0.412 1.982
P 6.317 -1.754 2.227

---

3.
8
Lattice="-1.881 2.828 0.432 0.732 -1.996 2.684 11.042 7.008 2.200" Properties=species:S:1:pos:R:3 comment="Lu4FePN2 (PBE, optimized geometry)" total_magnetization_mub_per_fu=1.8 final_energy_ev_per_cell=-56.69 pbc="T T T"
Fe 5.521 3.504 1.100
Lu 1.581 1.003 0.315
Lu 3.671 2.030 2.692
Lu 7.093 4.202 3.374
Lu 9.461 6.004 1.885
N 1.618 2.888 1.706
N 7.404 6.560 2.859
P -0.139 -0.388 1.933